Compound: Ni5W7
Source: the Open Quantum Materials Database
Functional: PBE
Structure: optimized geometry

a b c (Å): 4.9988 4.9988 16.3839
angles (deg): 90.00 90.00 120.00
Each line ends with the local moment (μB).
Fractional coordinates of all 24 atoms:
1 W 0.5000 0.5000 0.0000  -0.01
2 W 0.5000 0.5000 0.5000  -0.01
3 W 0.0000 0.5000 0.0000  -0.01
4 W 0.6667 0.3333 0.3381  -0.07
5 W 0.6667 0.3333 0.8635  -0.03
6 W 0.3333 0.6667 0.6619  -0.07
7 W 0.5000 0.0000 0.0000  -0.02
8 W 0.6667 0.3333 0.6365  -0.03
9 W 0.6667 0.3333 0.1619  -0.07
10 W 0.3333 0.6667 0.3635  -0.03
11 W 0.3333 0.6667 0.8381  -0.07
12 W 0.0000 0.5000 0.5000  -0.01
13 W 0.5000 0.0000 0.5000  -0.02
14 W 0.3333 0.6667 0.1365  -0.03
15 Ni 0.8431 0.6862 0.7500  -0.13
16 Ni 0.0000 0.0000 0.5901  -0.07
17 Ni 0.0000 0.0000 0.9099  -0.07
18 Ni 0.1569 0.8431 0.2500  -0.14
19 Ni 0.1569 0.3138 0.2500  -0.13
20 Ni 0.8431 0.1569 0.7500  -0.14
21 Ni 0.0000 0.0000 0.4099  -0.07
22 Ni 0.6862 0.8431 0.2500  -0.08
23 Ni 0.0000 0.0000 0.0901  -0.07
24 Ni 0.3138 0.1569 0.7500  -0.08

Formation enthalpy at 0 K: 9.8 kcal/mol of atoms
Polymorph energy (0 for the lowest one): 201.6 meV/atom
Size of the total moment: 0.8 μB/f.u.